one | # NdLu2Ag (GGA-PBE, optimized geometry)
data_NdLu2Ag
_chemical_formula_sum 'Nd1 Lu2 Ag1'
_space_group_name_H-M_alt 'P 4/m m m'
_space_group_IT_number 123
_space_group_name_Hall '-P 4 2'
_cell_length_a 4.750
_cell_length_b 4.750
_cell_length_c 4.830
_cell_angle_alpha 90.00
_cell_angle_beta 90.00
_cell_angle_gamma 90.00
loop_
_atom_site_label
_atom_site_fract_x
_atom_site_fract_y
_atom_site_fract_z
_atom_site_occupancy
Nd1 0.000 0.000 0.000 1
Lu1 0.000 0.500 0.500 1
Ag1 0.500 0.500 0.000 1
# Spin magnetization in μB per cell: 0.0
# Density of states at the Fermi level in states/eV per cell: 5.9



two | # NdLu2Ag (GGA-PBE, optimized geometry)
data_NdLu2Ag
_chemical_formula_sum 'Nd1 Lu2 Ag1'
_space_group_name_H-M_alt 'P 4/m m m'
_space_group_IT_number 123
_space_group_name_Hall '-P 4 2'
_cell_length_a 3.544
_cell_length_b 3.544
_cell_length_c 8.785
_cell_angle_alpha 90.00
_cell_angle_beta 90.00
_cell_angle_gamma 90.00
loop_
_atom_site_label
_atom_site_fract_x
_atom_site_fract_y
_atom_site_fract_z
_atom_site_occupancy
Nd1 0.000 0.000 0.000 1
Lu1 0.500 0.500 0.293 1
Ag1 0.000 0.000 0.500 1
# Spin magnetization in μB per cell: 0.0
# Density of states at the Fermi level in states/eV per cell: 4.9



three | # NdLu2Ag (GGA-PBE, optimized geometry)
data_NdLu2Ag
_chemical_formula_sum 'Nd3 Lu6 Ag3'
_space_group_name_H-M_alt 'R -3 m'
_space_group_IT_number 166
_space_group_name_Hall '-R 3 2"'
_cell_length_a 3.5594
_cell_length_b 3.5594
_cell_length_c 30.9248
_cell_angle_alpha 90.00
_cell_angle_beta 90.00
_cell_angle_gamma 120.00
loop_
_atom_site_label
_atom_site_fract_x
_atom_site_fract_y
_atom_site_fract_z
_atom_site_occupancy
Nd1 0.0000 0.0000 0.0000 1
Lu1 0.0000 0.0000 0.2393 1
Ag1 0.0000 0.0000 0.5000 1
# Spin magnetization in μB per cell: 0.0
# Density of states at the Fermi level in states/eV per cell: 14.7



Most stable: two (next structure +12.1 kJ/mol of atoms)



one | # NdLuAg2 (GGA-PBE, optimized geometry)
data_NdLuAg2
_chemical_formula_sum 'Nd1 Lu1 Ag2'
_space_group_name_H-M_alt 'P 4/m m m'
_space_group_IT_number 123
_space_group_name_Hall '-P 4 2'
_cell_length_a 3.597
_cell_length_b 3.597
_cell_length_c 7.540
_cell_angle_alpha 90.00
_cell_angle_beta 90.00
_cell_angle_gamma 90.00
loop_
_atom_site_label
_atom_site_fract_x
_atom_site_fract_y
_atom_site_fract_z
_atom_site_occupancy
Nd1 0.000 0.000 0.000 1
Lu1 0.000 0.000 0.500 1
Ag1 0.500 0.500 0.277 1
# Spin magnetization in μB per cell: 0.0
# Density of states at the Fermi level in states/eV per cell: 1.9



two | # NdLuAg2 (GGA-PBE, optimized geometry)
data_NdLuAg2
_chemical_formula_sum 'Nd4 Lu4 Ag8'
_space_group_name_H-M_alt 'F m -3 m'
_space_group_IT_number 225
_space_group_name_Hall '-F 4 2 3'
_cell_length_a 7.339
_cell_length_b 7.339
_cell_length_c 7.339
_cell_angle_alpha 90.00
_cell_angle_beta 90.00
_cell_angle_gamma 90.00
loop_
_atom_site_label
_atom_site_fract_x
_atom_site_fract_y
_atom_site_fract_z
_atom_site_occupancy
Nd1 0.000 0.000 0.000 1
Lu1 0.000 0.000 0.500 1
Ag1 0.250 0.250 0.250 1
# Spin magnetization in μB per cell: 0.0
# Density of states at the Fermi level in states/eV per cell: 15.2



Most stable: one (next structure +2.3 kJ/mol of atoms)



one | # LuAg2Pb (GGA-PBE, optimized geometry)
data_LuAg2Pb
_chemical_formula_sum 'Lu1 Ag2 Pb1'
_space_group_name_H-M_alt 'P 4/m m m'
_space_group_IT_number 123
_space_group_name_Hall '-P 4 2'
_cell_length_a 3.756
_cell_length_b 3.756
_cell_length_c 6.566
_cell_angle_alpha 90.00
_cell_angle_beta 90.00
_cell_angle_gamma 90.00
loop_
_atom_site_label
_atom_site_fract_x
_atom_site_fract_y
_atom_site_fract_z
_atom_site_occupancy
Lu1 0.000 0.000 0.000 1
Ag1 0.500 0.500 0.227 1
Pb1 0.000 0.000 0.500 1
# Spin magnetization in μB per cell: 0.0
# Density of states at the Fermi level in states/eV per cell: 0.8



two | # LuAg2Pb (GGA-PBE, optimized geometry)
data_LuAg2Pb
_chemical_formula_sum 'Lu4 Ag8 Pb4'
_space_group_name_H-M_alt 'F m -3 m'
_space_group_IT_number 225
_space_group_name_Hall '-F 4 2 3'
_cell_length_a 7.093
_cell_length_b 7.093
_cell_length_c 7.093
_cell_angle_alpha 90.00
_cell_angle_beta 90.00
_cell_angle_gamma 90.00
loop_
_atom_site_label
_atom_site_fract_x
_atom_site_fract_y
_atom_site_fract_z
_atom_site_occupancy
Lu1 0.000 0.000 0.000 1
Ag1 0.250 0.250 0.250 1
Pb1 0.000 0.000 0.500 1
# Spin magnetization in μB per cell: 0.0
# Density of states at the Fermi level in states/eV per cell: 6.4



Most stable: one (next structure +2.3 kJ/mol of atoms)